Material: AcHfRu2
Method: DFT, PBE
State: optimized geometry

E_tot in eV per cell: -33.59

Cell lengths 3.3708, 3.3708, 7.2482 Å; angles 90.00, 90.00, 90.00 degrees
Space group P4/mmm (No. 123)
Symmetry-distinct sites (fractional):
Ac (0.0000, 0.0000, 0.0000) (multiplicity 1)
Hf (0.0000, 0.0000, 0.5000) (multiplicity 1)
Ru (0.5000, 0.5000, 0.2922) (multiplicity 2)